Entry 1
The following is a DFT calculation (PBE-GGA) of TbZr2Fe after structural relaxation.

Geometry as POSCAR:
```
TbZr2Fe
1.0
-0.8022 -2.1871 -2.2790
2.6175 -1.7764 0.7835
-4.4209 -4.0947 5.4857
Tb Zr Fe
1 2 1
direct
0.5000 0.5000 0.5000
0.0000 0.0000 0.8137
0.0000 0.0000 0.1863
0.5000 0.5000 0.0000
```

Results
Total magnetic moment   0.46 μB/cell

Entry 2
The following is a DFT calculation (PBE-GGA) of TbZr2Fe after structural relaxation.

Geometry as POSCAR:
```
TbZr2Fe
1.0
3.2783 0.0000 0.0000
1.6392 2.8391 0.0000
1.6392 0.9464 9.9551
Tb Zr Fe
1 2 1
direct
0.0000 0.0000 0.0000
0.1085 0.1085 0.6744
0.8915 0.8915 0.3256
0.5000 0.5000 0.5000
```

Results
Total magnetic moment   0.17 μB/cell

Preferred: entry 1; penalty for the next structure: 25.5 kJ/mol of atoms.

Entry 1
The following is a DFT calculation (PBE-GGA) of TbZrFe after structural relaxation.

Geometry as POSCAR:
```
TbZrFe
1.0
-1.3738 0.4098 -2.9632
-2.8490 -1.1733 1.1586
0.4602 5.9003 2.4310
Zr Fe Tb
1 1 1
direct
0.2917 0.2917 0.5835
0.6823 0.6823 0.3646
0.0259 0.0259 0.0519
```

Results
Total magnetic moment   0.99 μB/cell

Entry 2
The following is a DFT calculation (PBE-GGA) of TbZrFe after structural relaxation.

Geometry as POSCAR:
```
TbZrFe
1.0
6.2472 0.0000 0.0000
-3.1236 6.3778 0.0000
0.0000 0.0000 6.5213
Tb Zr Fe
4 4 4
direct
0.6958 0.3916 0.8961
0.8042 0.6084 0.3961
0.1958 0.3916 0.6039
0.3042 0.6084 0.1039
0.2774 0.0549 0.2500
0.2226 0.9451 0.7500
0.7774 0.0549 0.2500
0.7226 0.9451 0.7500
0.6040 0.2080 0.5344
0.1040 0.2080 0.9656
0.8960 0.7920 0.0344
0.3960 0.7920 0.4656
```

Results
Total magnetic moment   0.00 μB/cell

Preferred: entry 2; penalty for the next structure: 1.9 kJ/mol of atoms.